Record 1
First-principles (PBE) data for a geometry-optimized Ga2GeSb2 structure, as listed in the Alexandria database.

The space group is I4/mmm (No. 139) and the conventional cell measures 3.8144, 3.8144 and 16.2073 Å, with angles of 90.00, 90.00 and 90.00 degrees. The asymmetric unit holds Ga at (0.0000, 0.5000, 0.2500), Ge at (0.0000, 0.0000, 0.0000) and Sb at (0.0000, 0.0000, 0.4037).

For the offset from the most stable computed form, the calculation gives 0 meV per atom. As for the magnetic moment: 0.00 Bohr magnetons per cell.

---

Record 2
First-principles (PBE) data for a geometry-optimized GaGe2Sb2 structure, as listed in the Alexandria database.

The space group is I4/mmm (No. 139) and the conventional cell measures 3.8220, 3.8220 and 16.3074 Å, with angles of 90.00, 90.00 and 90.00 degrees. The asymmetric unit holds Ga at (0.0000, 0.0000, 0.0000), Ge at (0.0000, 0.5000, 0.2500) and Sb at (0.0000, 0.0000, 0.4040).

For the offset from the most stable computed form, the calculation gives 14 meV per atom. As for the magnetic moment: 0.00 Bohr magnetons per cell.

---

Record 3
First-principles (PBE) data for a geometry-optimized GaGe2Sb structure, as listed in the Alexandria database.

The space group is Fm-3m (No. 225) and the conventional cell measures 7.0423, 7.0423 and 7.0423 Å, with angles of 90.00, 90.00 and 90.00 degrees. The asymmetric unit holds Ga at (0.0000, 0.0000, 0.0000), Ge at (0.2500, 0.2500, 0.2500) and Sb at (0.0000, 0.0000, 0.5000).

For the offset from the most stable computed form, the calculation gives 263 meV per atom. As for the magnetic moment: 0.00 Bohr magnetons per cell.

---

Record 4
First-principles (PBE) data for a geometry-optimized Ga2Ge2Sb structure, as listed in the Alexandria database.

The space group is P4/mbm (No. 127) and the conventional cell measures 8.2127, 8.2127 and 3.1216 Å, with angles of 90.00, 90.00 and 90.00 degrees. The asymmetric unit holds Ga at (0.1349, 0.3651, 0.0000), Ge at (0.1619, 0.6619, 0.5000) and Sb at (0.0000, 0.0000, 0.5000).

For the offset from the most stable computed form, the calculation gives 0 meV per atom. As for the magnetic moment: 0.00 Bohr magnetons per cell.

---

Record 5
First-principles (PBE) data for a geometry-optimized Ga2Ge2Sb structure, as listed in the Alexandria database.

The space group is P4/mbm (No. 127) and the conventional cell measures 8.1053, 8.1053 and 3.1560 Å, with angles of 90.00, 90.00 and 90.00 degrees. The asymmetric unit holds Ga at (0.1615, 0.3385, 0.0000), Ge at (0.1311, 0.6311, 0.5000) and Sb at (0.0000, 0.0000, 0.0000).

For the offset from the most stable computed form, the calculation gives 22 meV per atom. As for the magnetic moment: 0.00 Bohr magnetons per cell.

---

Record 6
First-principles (PBE) data for a geometry-optimized GaGe2Sb2 structure, as listed in the Alexandria database.

The space group is P4/mbm (No. 127) and the conventional cell measures 8.0738, 8.0738 and 3.7445 Å, with angles of 90.00, 90.00 and 90.00 degrees. The asymmetric unit holds Ga at (0.0000, 0.0000, 0.0000), Ge at (0.1364, 0.3636, 0.5000) and Sb at (0.1562, 0.6562, 0.0000).

For the offset from the most stable computed form, the calculation gives 45 meV per atom. As for the magnetic moment: 0.00 Bohr magnetons per cell.

---

Record 7
First-principles (PBE) data for a geometry-optimized GaGe2Sb2 structure, as listed in the Alexandria database.

The space group is I4/mmm (No. 139) and the conventional cell measures 5.3902, 5.3902 and 8.7595 Å, with angles of 90.00, 90.00 and 90.00 degrees. The asymmetric unit holds Ga at (0.0000, 0.0000, 0.0000), Ge at (0.0000, 0.0000, 0.3538) and Sb at (0.0000, 0.5000, 0.2500).

For the offset from the most stable computed form, the calculation gives 0 meV per atom. As for the magnetic moment: 0.00 Bohr magnetons per cell.

---

Record 8
First-principles (PBE) data for a geometry-optimized GaGe2Sb2 structure, as listed in the Alexandria database.

The space group is P4/mbm (No. 127) and the conventional cell measures 7.9242, 7.9242 and 3.7722 Å, with angles of 90.00, 90.00 and 90.00 degrees. The asymmetric unit holds Ga at (0.0000, 0.0000, 0.0000), Ge at (0.1408, 0.3592, 0.0000) and Sb at (0.1565, 0.6565, 0.5000).

For the offset from the most stable computed form, the calculation gives 25 meV per atom. As for the magnetic moment: 0.00 Bohr magnetons per cell.

---

Record 9
First-principles (PBE) data for a geometry-optimized Ga12Ge5Sb3 structure, as listed in the Alexandria database.

The space group is Ia-3d (No. 230) and the conventional cell measures 15.8307, 15.8307 and 15.8307 Å, with angles of 90.00, 90.00 and 90.00 degrees. The asymmetric unit holds Ga at (0.0212, 0.0675, 0.6500), Ge at (0.0000, 0.0000, 0.0000), Ge at (0.0000, 0.2500, 0.3750) and Sb at (0.0000, 0.2500, 0.1250).

As for the magnetic moment: 0.00 Bohr magnetons per cell.

---

Record 10
First-principles (PBE) data for a geometry-optimized GaGe2Sb structure, as listed in the Alexandria database.

The space group is I-42d (No. 122) and the conventional cell measures 5.9966, 5.9966 and 12.0563 Å, with angles of 90.00, 90.00 and 90.00 degrees. The asymmetric unit holds Ga at (0.0000, 0.0000, 0.0000), Ge at (0.2209, 0.2500, 0.1250) and Sb at (0.0000, 0.0000, 0.5000).

For the offset from the most stable computed form, the calculation gives 0 meV per atom. As for the magnetic moment: 0.00 Bohr magnetons per cell.

---

Record 11
First-principles (PBE) data for a geometry-optimized Ga2GeSb2 structure, as listed in the Alexandria database.

The space group is P4/mbm (No. 127) and the conventional cell measures 7.5149, 7.5149 and 4.0759 Å, with angles of 90.00, 90.00 and 90.00 degrees. The asymmetric unit holds Ga at (0.1248, 0.3752, 0.0000), Ge at (0.0000, 0.0000, 0.0000) and Sb at (0.1891, 0.6891, 0.5000).

For the offset from the most stable computed form, the calculation gives 22 meV per atom. As for the magnetic moment: 0.00 Bohr magnetons per cell.

---

Record 12
First-principles (PBE) data for a geometry-optimized GaGeSbSe structure, as listed in the Alexandria database.

The space group is P3m1 (No. 156) and the conventional cell measures 4.0134, 4.0134 and 8.5219 Å, with angles of 90.00, 90.00 and 120.00 degrees. The asymmetric unit holds Ga at (0.0000, 0.0000, 0.0000), Ge at (0.0000, 0.0000, 0.7113), Sb at (0.3333, 0.6667, 0.5600) and Se at (0.6667, 0.3333, 0.1251).

As for the magnetic moment: 0.00 Bohr magnetons per cell.

---

Going through the records in order, we get formation energy (no corrections) values of 190, 225, 270, 155, 177, 256, 211, 237, 155, 8, 212, -233 meV/atom.